[1]
Here is a geometry-optimized YZnH2S structure from Alexandria. Energies are from PBE.

a = 4.076 Å, b = 5.406 Å, c = 4.076 Å
α = 90.00°, β = 90.00°, γ = 90.00°
Fractional positions:
Y1 0.000 0.000 0.000
H1 0.000 0.000 0.500
H2 0.500 0.000 0.000
Zn1 0.500 0.500 0.500
S1 0.000 0.500 0.000

Space-group type: P4/mmm, No. 123
Density in g/cm3: 3.5
Density of states at the Fermi level in states/eV/cell: 1.05
Size of the total moment in μB per formula unit: 0.00

***

[2]
Here is a geometry-optimized ZrOsBr2 structure from Alexandria. Energies are from PBE.

a = 6.005 Å, b = 6.005 Å, c = 6.974 Å
α = 64.50°, β = 64.50°, γ = 90.00°
Fractional positions:
Os1 0.000 0.000 0.000
Os2 0.750 0.250 0.500
Br1 0.654 0.125 0.250
Br2 0.096 0.625 0.250
Br3 0.375 0.346 0.750
Br4 0.875 0.904 0.750
Zr1 0.500 0.500 0.000
Zr2 0.250 0.750 0.500

Space-group type: I-42d, No. 122
Uncorrected formation energy in kJ per mole of atoms: 92.22
Density in g/cm3: 7.3
Density of states at the Fermi level in states/eV/cell: 9.18
Energy above the lowest structure with this stoichiometry in meV/atom: 1206
Size of the total moment in μB per formula unit: 0.00

***

[3]
Here is a geometry-optimized CuSnPt structure from Alexandria. Energies are from PBE.

a = 4.347 Å, b = 4.347 Å, c = 4.347 Å
α = 60.00°, β = 60.00°, γ = 60.00°
Fractional positions:
Cu1 0.000 0.000 0.000
Sn1 0.500 0.500 0.500
Pt1 0.250 0.250 0.250

Space-group type: F-43m, No. 216
Formation enthalpy at 0 K in meV/atom: -282.0
Density in g/cm3: 10.8
Density of states at the Fermi level in states/eV/cell: 1.11
Energy above the lowest structure with this stoichiometry in meV/atom: 0
Size of the total moment in μB per formula unit: 0.00

***

What are the raw total energy values for these records? In order: -20.44, -19.30, -14.99 eV/f.u..